First-principles (PBE) data for a relaxed structure of SrCd2RuW, as listed in Alexandria via LeMat-Bulk.

Calculated values
SG: P4/mmm, No. 123
Mass density, g/cm3: 6.97
Total energy, eV per formula unit: -18.32
Magnetic moment, μB per formula unit: 5.1
Polymorph energy (0 for the lowest one), meV/atom: 0

a b c (Å): 5.2302 5.2302 5.1990
angles (deg): 90.00 90.00 90.00
Last column: nearest neighbours and their distance in Å.
Element x y z (fractional)
1 Sr 0.0000 0.0000 0.0000  2 Ru 2.60
2 Cd 0.0000 0.5000 0.5000  2 Ru 2.62
3 Cd 0.5000 0.0000 0.5000  2 Ru 2.62
4 Ru 0.0000 0.0000 0.5000  2 Sr 2.60, 4 Cd 2.62
5 W 0.5000 0.5000 0.0000  8 Cd 3.69, 4 Sr 3.70